[1]
VASP calculation (PBE-GGA) on a relaxed structure of Pm6As3PSe2. Values from VASP.

Geometry as Quantum ESPRESSO input:
```
&SYSTEM
  ibrav = 0, nat = 12, ntyp = 4
/
ATOMIC_SPECIES
Pm 145.00 Pm.upf
As 74.92 As.upf
P 30.97 P.upf
Se 78.96 Se.upf
CELL_PARAMETERS angstrom
9.1792 -2.1045 0.0000
9.1792 2.1045 0.0000
-1.9274 0.0000 8.1999
ATOMIC_POSITIONS crystal
Pm 0.0019 0.0019 0.2579
Pm 0.3367 0.3367 0.4243
Pm 0.3370 0.3370 0.9107
Pm 0.6630 0.6630 0.0893
Pm 0.6633 0.6633 0.5757
Pm 0.9981 0.9981 0.7421
As 0.1683 0.1683 0.3339
As 0.5000 0.5000 0.0000
As 0.8317 0.8317 0.6661
P 0.5000 0.5000 0.5000
Se 0.1673 0.1673 0.8353
Se 0.8327 0.8327 0.1647
```

Space-group type: C2/m, No. 12
ΔE_f (raw), eV/atom: -1.693

---

[2]
VASP calculation (PBE-GGA) on a relaxed structure of CoTe2P. Values from VASP.

Geometry as Quantum ESPRESSO input:
```
&SYSTEM
  ibrav = 0, nat = 8, ntyp = 3
/
ATOMIC_SPECIES
Co 58.93 Co.upf
Te 127.60 Te.upf
P 30.97 P.upf
CELL_PARAMETERS angstrom
3.5931 0.0000 0.0000
0.0000 5.0756 0.0000
0.0000 0.0000 8.8565
ATOMIC_POSITIONS crystal
Co 0.0000 0.0000 0.0000
Co 0.0000 0.5000 0.5000
Te 0.0000 0.0000 0.4789
Te 0.0000 0.5000 0.9789
Te 0.5000 0.0000 0.7882
Te 0.5000 0.5000 0.2882
P 0.5000 0.0000 0.1527
P 0.5000 0.5000 0.6527
```

Space-group type: Amm2, No. 38
ΔE_f (raw), eV/atom: 0.017

---

[3]
VASP calculation (PBE-GGA) on a relaxed structure of Fe2AgRhI. Values from VASP.

Geometry as Quantum ESPRESSO input:
```
&SYSTEM
  ibrav = 0, nat = 5, ntyp = 4
/
ATOMIC_SPECIES
Fe 55.84 Fe.upf
Ag 107.87 Ag.upf
Rh 102.91 Rh.upf
I 126.90 I.upf
CELL_PARAMETERS angstrom
4.6731 0.0000 0.0000
0.0000 4.6731 0.0000
0.0000 0.0000 4.8640
ATOMIC_POSITIONS crystal
Fe 0.0000 0.5000 0.0000
Fe 0.5000 0.0000 0.0000
Ag 0.0000 0.0000 0.5000
Rh 0.5000 0.5000 0.5000
I 0.5000 0.5000 0.0000
```

Space-group type: P4/mmm, No. 123
ΔE_f (raw), eV/atom: 1.276

---

[4]
VASP calculation (PBE-GGA) on a relaxed structure of NaAcSnO4. Values from VASP.

Geometry as Quantum ESPRESSO input:
```
&SYSTEM
  ibrav = 0, nat = 14, ntyp = 4
/
ATOMIC_SPECIES
Na 22.99 Na.upf
Ac 227.00 Ac.upf
Sn 118.71 Sn.upf
O 16.00 O.upf
CELL_PARAMETERS angstrom
4.0936 0.0000 0.0000
0.0000 4.0936 0.0000
0.0000 0.0000 12.7697
ATOMIC_POSITIONS crystal
Na 0.0000 0.0000 0.0000
Na 0.5000 0.5000 0.5000
Ac 0.0000 0.0000 0.3015
Ac 0.5000 0.5000 0.8015
Sn 0.0000 0.0000 0.6433
Sn 0.5000 0.5000 0.1433
O 0.0000 0.0000 0.4857
O 0.0000 0.0000 0.8147
O 0.0000 0.5000 0.1642
O 0.0000 0.5000 0.6642
O 0.5000 0.0000 0.1642
O 0.5000 0.0000 0.6642
O 0.5000 0.5000 0.3147
O 0.5000 0.5000 0.9857
```

Space-group type: I4mm, No. 107
ΔE_f (raw), eV/atom: -2.238

---

[5]
VASP calculation (PBE-GGA) on a relaxed structure of P2IrPt. Values from VASP.

Geometry as Quantum ESPRESSO input:
```
&SYSTEM
  ibrav = 0, nat = 16, ntyp = 3
/
ATOMIC_SPECIES
P 30.97 P.upf
Ir 192.22 Ir.upf
Pt 195.08 Pt.upf
CELL_PARAMETERS angstrom
5.3294 0.0000 0.0000
0.0000 5.3294 0.0000
0.0000 0.0000 10.5580
ATOMIC_POSITIONS crystal
P 0.2407 0.2500 0.1250
P 0.2500 0.7407 0.3750
P 0.2500 0.7593 0.8750
P 0.2593 0.2500 0.6250
P 0.7407 0.7500 0.6250
P 0.7500 0.2407 0.8750
P 0.7500 0.2593 0.3750
P 0.7593 0.7500 0.1250
Ir 0.0000 0.0000 0.0000
Ir 0.0000 0.5000 0.2500
Ir 0.5000 0.0000 0.7500
Ir 0.5000 0.5000 0.5000
Pt 0.0000 0.0000 0.5000
Pt 0.0000 0.5000 0.7500
Pt 0.5000 0.0000 0.2500
Pt 0.5000 0.5000 0.0000
```

Space-group type: I-42d, No. 122
Calculated formation energy, meV/atom: -367
ΔE to the lowest computed polymorph, eV per atom: 0.0200

---

[6]
VASP calculation (PBE-GGA) on a relaxed structure of CaDyInGe. Values from VASP.

Geometry as Quantum ESPRESSO input:
```
&SYSTEM
  ibrav = 0, nat = 16, ntyp = 4
/
ATOMIC_SPECIES
Ca 40.08 Ca.upf
Dy 162.50 Dy.upf
In 114.82 In.upf
Ge 72.64 Ge.upf
CELL_PARAMETERS angstrom
7.4205 0.0000 0.0000
0.0000 7.4205 0.0000
0.0000 0.0000 7.4205
ATOMIC_POSITIONS crystal
Ca 0.0000 0.0000 0.0000
Ca 0.0000 0.5000 0.5000
Ca 0.5000 0.0000 0.5000
Ca 0.5000 0.5000 0.0000
Dy 0.0000 0.0000 0.5000
Dy 0.0000 0.5000 0.0000
Dy 0.5000 0.0000 0.0000
Dy 0.5000 0.5000 0.5000
In 0.2500 0.2500 0.2500
In 0.2500 0.7500 0.7500
In 0.7500 0.2500 0.7500
In 0.7500 0.7500 0.2500
Ge 0.2500 0.2500 0.7500
Ge 0.2500 0.7500 0.2500
Ge 0.7500 0.2500 0.2500
Ge 0.7500 0.7500 0.7500
```

Space-group type: F-43m, No. 216
Calculated formation energy, meV/atom: -444

---

[7]
VASP calculation (PBE-GGA) on a relaxed structure of Th2Al3Ag4Hg. Values from VASP.

Geometry as Quantum ESPRESSO input:
```
&SYSTEM
  ibrav = 0, nat = 10, ntyp = 4
/
ATOMIC_SPECIES
Th 232.04 Th.upf
Al 26.98 Al.upf
Ag 107.87 Ag.upf
Hg 200.59 Hg.upf
CELL_PARAMETERS angstrom
4.4003 0.0000 0.0000
0.0000 4.4003 0.0000
0.0000 0.0000 11.1309
ATOMIC_POSITIONS crystal
Th 0.0000 0.5000 0.2415
Th 0.5000 0.0000 0.7585
Al 0.0000 0.5000 0.8716
Al 0.5000 0.0000 0.1284
Al 0.5000 0.5000 0.5000
Ag 0.0000 0.0000 0.0000
Ag 0.0000 0.5000 0.6482
Ag 0.5000 0.0000 0.3518
Ag 0.5000 0.5000 0.0000
Hg 0.0000 0.0000 0.5000
```

Space-group type: P-4m2, No. 115
Calculated formation energy, meV/atom: -200

---

[8]
VASP calculation (PBE-GGA) on a relaxed structure of MgSc2Al. Values from VASP.

Geometry as Quantum ESPRESSO input:
```
&SYSTEM
  ibrav = 0, nat = 4, ntyp = 3
/
ATOMIC_SPECIES
Mg 24.30 Mg.upf
Sc 44.96 Sc.upf
Al 26.98 Al.upf
CELL_PARAMETERS angstrom
4.8868 0.0000 0.0000
0.0000 4.8868 0.0000
0.0000 0.0000 3.5038
ATOMIC_POSITIONS crystal
Mg 0.0000 0.0000 0.0000
Sc 0.0000 0.5000 0.5000
Sc 0.5000 0.0000 0.5000
Al 0.5000 0.5000 0.0000
```

Space-group type: P4/mmm, No. 123
Calculated formation energy, meV/atom: -268
ΔE to the lowest computed polymorph, eV per atom: 0.0193

---

Copy entry 2 word for word.
VASP calculation (PBE-GGA) on a relaxed structure of CoTe2P. Values from VASP.

Geometry as Quantum ESPRESSO input:
```
&SYSTEM
  ibrav = 0, nat = 8, ntyp = 3
/
ATOMIC_SPECIES
Co 58.93 Co.upf
Te 127.60 Te.upf
P 30.97 P.upf
CELL_PARAMETERS angstrom
3.5931 0.0000 0.0000
0.0000 5.0756 0.0000
0.0000 0.0000 8.8565
ATOMIC_POSITIONS crystal
Co 0.0000 0.0000 0.0000
Co 0.0000 0.5000 0.5000
Te 0.0000 0.0000 0.4789
Te 0.0000 0.5000 0.9789
Te 0.5000 0.0000 0.7882
Te 0.5000 0.5000 0.2882
P 0.5000 0.0000 0.1527
P 0.5000 0.5000 0.6527
```

Space-group type: Amm2, No. 38
ΔE_f (raw), eV/atom: 0.017